Record 1
VASP calculation (GGA-PBEsol) on a relaxed structure of BaY2CuO5.

Computed properties:
Space group: Pnma, No. 62
Formation energy (no corrections) (kJ/mol of formula units): -2386.2

Cell: 12.095 5.627 7.102 Å, 90.00 90.00 90.00°
Positions (direct):
Ba 0.096 0.250 0.069
Ba 0.404 0.750 0.569
Ba 0.596 0.250 0.431
Ba 0.904 0.750 0.931
Y 0.074 0.750 0.397
Y 0.212 0.250 0.614
Y 0.288 0.750 0.114
Y 0.426 0.250 0.897
Y 0.574 0.750 0.103
Y 0.712 0.250 0.886
Y 0.788 0.750 0.386
Y 0.926 0.250 0.603
Cu 0.160 0.750 0.785
Cu 0.340 0.250 0.285
Cu 0.660 0.750 0.715
Cu 0.840 0.250 0.215
O 0.067 0.506 0.665
O 0.067 0.994 0.665
O 0.101 0.750 0.082
O 0.228 0.004 0.356
O 0.228 0.496 0.356
O 0.272 0.504 0.856
O 0.272 0.996 0.856
O 0.399 0.250 0.582
O 0.433 0.006 0.165
O 0.433 0.494 0.165
O 0.567 0.506 0.835
O 0.567 0.994 0.835
O 0.601 0.750 0.418
O 0.728 0.004 0.144
O 0.728 0.496 0.144
O 0.772 0.504 0.644
O 0.772 0.996 0.644
O 0.899 0.250 0.918
O 0.933 0.006 0.335
O 0.933 0.494 0.335

Record 2
VASP calculation (GGA-PBEsol) on a relaxed structure of K2MgCo.

Computed properties:
Space group: F-43m, No. 216
Energy relative to the elements (kJ per mole of atoms): 85.6

Cell: 5.427 5.427 5.427 Å, 60.00 60.00 60.00°
Positions (direct):
K 0.000 0.000 0.000
K 0.250 0.250 0.250
Mg 0.500 0.500 0.500
Co 0.750 0.750 0.750

Record 3
VASP calculation (GGA-PBEsol) on a relaxed structure of LiYFe2.

Computed properties:
Space group: R3m, No. 160
Energy relative to the elements (kJ per mole of atoms): 52.1

Cell: 9.048 9.048 9.048 Å, 19.15 19.15 19.15°
Positions (direct):
Li 0.000 0.000 0.000
Y 0.225 0.225 0.225
Fe 0.472 0.472 0.472
Fe 0.746 0.746 0.746

Record 4
VASP calculation (GGA-PBEsol) on a relaxed structure of DyMg16Al12.

Computed properties:
Space group: R3m, No. 160
Energy relative to the elements (kJ per mole of atoms): -5.9

Cell: 9.134 9.134 9.134 Å, 109.97 109.97 109.97°
Positions (direct):
Dy 0.000 0.000 0.000
Mg 0.021 0.315 0.628
Mg 0.021 0.628 0.315
Mg 0.235 0.235 0.905
Mg 0.235 0.905 0.235
Mg 0.282 0.625 0.625
Mg 0.315 0.021 0.628
Mg 0.315 0.628 0.021
Mg 0.345 0.943 0.943
Mg 0.625 0.282 0.625
Mg 0.625 0.625 0.282
Mg 0.627 0.627 0.627
Mg 0.628 0.021 0.315
Mg 0.628 0.315 0.021
Mg 0.905 0.235 0.235
Mg 0.943 0.345 0.943
Mg 0.943 0.943 0.345
Al 0.253 0.253 0.437
Al 0.253 0.437 0.253
Al 0.437 0.253 0.253
Al 0.439 0.439 0.801
Al 0.439 0.801 0.439
Al 0.630 0.814 0.994
Al 0.630 0.994 0.814
Al 0.801 0.439 0.439
Al 0.814 0.630 0.994
Al 0.814 0.994 0.630
Al 0.994 0.630 0.814
Al 0.994 0.814 0.630

Record 5
VASP calculation (GGA-PBEsol) on a relaxed structure of VBiPbO5.

Computed properties:
Space group: C2/m, No. 12
Formation energy (no corrections) (kJ/mol of formula units): -1379.8

Cell: 7.189 7.189 7.093 Å, 110.73 110.73 45.16°
Positions (direct):
V 0.163 0.163 0.151
V 0.837 0.837 0.849
Bi 0.486 0.486 0.244
Bi 0.514 0.514 0.756
Pb 0.159 0.159 0.617
Pb 0.841 0.841 0.383
O 0.091 0.091 0.894
O 0.114 0.613 0.730
O 0.262 0.738 0.500
O 0.301 0.301 0.205
O 0.387 0.886 0.270
O 0.613 0.114 0.730
O 0.699 0.699 0.795
O 0.738 0.262 0.500
O 0.886 0.387 0.270
O 0.909 0.909 0.106

Record 6
VASP calculation (GGA-PBEsol) on a relaxed structure of Co2TePt.

Computed properties:
Space group: I4/mmm, No. 139
Formation energy (no corrections) (kJ/mol of formula units): 67.7

Cell: 4.515 4.515 4.515 Å, 127.59 127.59 77.29°
Positions (direct):
Co 0.250 0.750 0.500
Co 0.750 0.250 0.500
Te 0.000 0.000 0.000
Pt 0.500 0.500 0.000

Record 7
VASP calculation (GGA-PBEsol) on a relaxed structure of CsCrCl3.

Computed properties:
Space group: Pm-3m, No. 221
Formation energy (no corrections) (kJ/mol of formula units): -664.8

Cell: 4.957 4.957 4.957 Å, 90.00 90.00 90.00°
Positions (direct):
Cs 0.000 0.000 0.000
Cr 0.500 0.500 0.500
Cl 0.000 0.500 0.500
Cl 0.500 0.000 0.500
Cl 0.500 0.500 0.000

Record 8
VASP calculation (GGA-PBEsol) on a relaxed structure of Na2ZnSn2S6.

Computed properties:
Space group: Fdd2, No. 43
Formation energy (no corrections) (kJ/mol of formula units): -744.1

Cell: 12.240 7.413 13.359 Å, 65.04 33.30 81.66°
Positions (direct):
Na 0.218 0.782 0.379
Na 0.629 0.871 0.468
Na 0.782 0.218 0.621
Na 0.871 0.629 0.032
Zn 0.265 0.265 0.735
Zn 0.515 0.515 0.985
Sn 0.223 0.756 0.999
Sn 0.228 0.251 0.494
Sn 0.251 0.228 0.027
Sn 0.756 0.223 0.022
S 0.009 0.845 0.267
S 0.199 0.462 0.329
S 0.241 0.921 0.788
S 0.370 0.983 0.405
S 0.403 0.492 0.438
S 0.462 0.199 0.009
S 0.492 0.403 0.667
S 0.583 0.812 0.758
S 0.812 0.583 0.847
S 0.845 0.009 0.880
S 0.921 0.241 0.051
S 0.983 0.370 0.241

Record 9
VASP calculation (GGA-PBEsol) on a relaxed structure of Ca2RePdAu.

Computed properties:
Space group: P4/mmm, No. 123
Energy relative to the elements (kJ per mole of atoms): 96.4

Cell: 5.149 5.149 4.984 Å, 90.00 90.00 90.00°
Positions (direct):
Ca 0.000 0.500 0.000
Ca 0.500 0.000 0.000
Re 0.000 0.000 0.500
Pd 0.500 0.500 0.000
Au 0.500 0.500 0.500

Record 10
VASP calculation (GGA-PBEsol) on a relaxed structure of K2LaMn.

Computed properties:
Space group: Pmmm, No. 47
Energy relative to the elements (kJ per mole of atoms): 91.8

Cell: 3.393 6.494 6.694 Å, 90.00 90.00 90.00°
Positions (direct):
K 0.000 0.000 0.235
K 0.000 0.000 0.765
La 0.500 0.500 0.500
Mn 0.500 0.500 0.000

Record 11
VASP calculation (GGA-PBEsol) on a relaxed structure of ScP2BrO.

Computed properties:
Space group: P4/mmm, No. 123
Formation energy (no corrections) (kJ/mol of formula units): -73.3

Cell: 5.137 5.137 3.847 Å, 90.00 90.00 90.00°
Positions (direct):
Sc 0.000 0.000 0.000
P 0.000 0.500 0.000
P 0.500 0.000 0.000
Br 0.500 0.500 0.500
O 0.000 0.000 0.500

Record 12
VASP calculation (GGA-PBEsol) on a relaxed structure of ZnAgHg2C.

Computed properties:
Space group: P4/mmm, No. 123
Energy relative to the elements (kJ per mole of atoms): 74.4

Cell: 4.881 4.881 3.753 Å, 90.00 90.00 90.00°
Positions (direct):
Zn 0.000 0.000 0.000
Ag 0.500 0.500 0.000
Hg 0.000 0.500 0.500
Hg 0.500 0.000 0.500
C 0.000 0.000 0.500

Record 13
VASP calculation (GGA-PBEsol) on a relaxed structure of TaTlCo2.

Computed properties:
Space group: P4/mmm, No. 123
Energy relative to the elements (kJ per mole of atoms): 6.6

Cell: 3.103 3.103 6.130 Å, 90.00 90.00 90.00°
Positions (direct):
Ta 0.000 0.000 0.000
Tl 0.000 0.000 0.500
Co 0.500 0.500 0.214
Co 0.500 0.500 0.786

Record 14
VASP calculation (GGA-PBEsol) on a relaxed structure of Sr3HfP.

Computed properties:
Space group: Pm-3m, No. 221
Energy relative to the elements (kJ per mole of atoms): 25.1

Cell: 5.782 5.782 5.782 Å, 90.00 90.00 90.00°
Positions (direct):
Sr 0.000 0.000 0.500
Sr 0.000 0.500 0.000
Sr 0.500 0.000 0.000
Hf 0.500 0.500 0.500
P 0.000 0.000 0.000

Record 15
VASP calculation (GGA-PBEsol) on a relaxed structure of CaOsW.

Computed properties:
Space group: I4mm, No. 107
Energy relative to the elements (kJ per mole of atoms): 45.8

Cell: 6.305 6.305 6.305 Å, 151.31 151.31 41.02°
Positions (direct):
Ca 0.000 0.000 0.000
Os 0.689 0.689 0.000
W 0.296 0.296 0.000

Record 16
VASP calculation (GGA-PBEsol) on a relaxed structure of Zr2TaRe.

Computed properties:
Space group: Imm2, No. 44
Energy relative to the elements (kJ per mole of atoms): -12.6

Cell: 5.581 5.581 5.581 Å, 145.98 129.19 62.57°
Positions (direct):
Zr 0.000 0.000 0.000
Zr 0.730 0.230 0.500
Ta 0.273 0.773 0.500
Re 0.490 0.490 0.000

Record 17
VASP calculation (GGA-PBEsol) on a relaxed structure of Ba5In.

Computed properties:
Space group: Cmmm, No. 65
Energy relative to the elements (kJ per mole of atoms): -7.7

Cell: 9.127 9.127 5.790 Å, 90.00 90.00 143.67°
Positions (direct):
Ba 0.000 0.000 0.000
Ba 0.148 0.852 0.500
Ba 0.346 0.654 0.000
Ba 0.654 0.346 0.000
Ba 0.852 0.148 0.500
In 0.500 0.500 0.500

Record 18
VASP calculation (GGA-PBEsol) on a relaxed structure of SiNi6Ir.

Computed properties:
Space group: Cmmm, No. 65
Formation energy (no corrections) (kJ/mol of formula units): -167.5

Cell: 6.091 6.091 9.949 Å, 90.00 90.00 109.53°
Positions (direct):
Si 0.000 0.000 0.247
Si 0.000 0.000 0.753
Si 0.252 0.748 0.000
Si 0.748 0.252 0.000
Ni 0.000 0.000 0.000
Ni 0.000 0.000 0.500
Ni 0.120 0.368 0.370
Ni 0.120 0.368 0.630
Ni 0.121 0.373 0.121
Ni 0.121 0.373 0.879
Ni 0.247 0.753 0.243
Ni 0.247 0.753 0.757
Ni 0.368 0.120 0.370
Ni 0.368 0.120 0.630
Ni 0.373 0.121 0.121
Ni 0.373 0.121 0.879
Ni 0.500 0.500 0.000
Ni 0.500 0.500 0.500
Ni 0.627 0.879 0.121
Ni 0.627 0.879 0.879
Ni 0.632 0.880 0.370
Ni 0.632 0.880 0.630
Ni 0.753 0.247 0.243
Ni 0.753 0.247 0.757
Ni 0.879 0.627 0.121
Ni 0.879 0.627 0.879
Ni 0.880 0.632 0.370
Ni 0.880 0.632 0.630
Ir 0.251 0.749 0.500
Ir 0.500 0.500 0.250
Ir 0.500 0.500 0.750
Ir 0.749 0.251 0.500

Record 19
VASP calculation (GGA-PBEsol) on a relaxed structure of ZrScTc.

Computed properties:
Space group: I4mm, No. 107
Energy relative to the elements (kJ per mole of atoms): -19.3

Cell: 5.829 5.829 5.829 Å, 147.27 147.27 46.96°
Positions (direct):
Zr 0.000 0.000 0.000
Sc 0.718 0.718 0.000
Tc 0.367 0.367 0.000

Record 20
VASP calculation (GGA-PBEsol) on a relaxed structure of ZrIn3.

Computed properties:
Space group: Cmmm, No. 65
Energy relative to the elements (kJ per mole of atoms): -19.9

Cell: 5.513 5.513 3.179 Å, 90.00 90.00 113.16°
Positions (direct):
Zr 0.000 0.000 0.000
In 0.000 0.500 0.500
In 0.500 0.000 0.500
In 0.500 0.500 0.000